This record from Alexandria describes an optimized crystal structure of MnInPt2S. The functional is GGA-PBE.

Calculated values
DFT total energy ... -5.10 eV per atom
ρ ... 9.044 g/cm³
Volume ... 21.74 Å³/atom
DOS at the Fermi energy ... 3.481 states/eV/f.u.
Formation energy without anion corrections ... 0.528 eV/atom

Cell: 4.5229 5.3136 4.5229 Å, 90.00 90.00 90.00°
Last column: nearest neighbours and their distance in Å.
Fractional positions:
1 Pt 0.5000 0.0000 0.0000  2 S 2.26
2 S 0.0000 0.0000 0.0000  4 Pt 2.26
3 Pt 0.0000 0.0000 0.5000  2 S 2.26
4 Mn 0.5000 0.5000 0.5000  4 In 3.20, 8 Pt 3.49
5 In 0.0000 0.5000 0.0000  2 S 2.66

This record from Alexandria describes an optimized crystal structure of CePRhF. The functional is GGA-PBE.

Calculated values
DFT total energy ... -7.22 eV per atom
ρ ... 7.479 g/cm³
Volume ... 16.26 Å³/atom
DOS at the Fermi energy ... 5.589 states/eV/f.u.
Formation energy without anion corrections ... -2.078 eV/atom

Cell: 3.9033 3.9033 8.5399 Å, 90.00 90.00 90.00°
Last column: nearest neighbours and their distance in Å.
Fractional positions:
1 Ce 0.0000 0.5000 0.3072  4 F 2.55
2 P 0.0000 0.5000 0.8348  4 Rh 2.41
3 F 0.0000 0.0000 0.5000  4 Ce 2.55, 4 F 2.76
4 Rh 0.0000 0.0000 0.0000  4 P 2.41
5 Rh 0.5000 0.5000 0.0000  4 P 2.41
6 F 0.5000 0.5000 0.5000  4 Ce 2.55, 4 F 2.76
7 Ce 0.5000 0.0000 0.6928  4 F 2.55
8 P 0.5000 0.0000 0.1652  4 Rh 2.41

This record from Alexandria describes an optimized crystal structure of Ta2AlPb. The functional is GGA-PBE.

Calculated values
DFT total energy ... -7.41 eV per atom
ρ ... 12.670 g/cm³
E_form ... 0.37 eV per atom
Volume ... 19.53 Å³/atom
DOS at the Fermi energy ... 3.244 states/eV/f.u.

Cell: 9.7942 9.7942 9.7942 Å, 17.97 17.97 17.97°
Last column: nearest neighbours and their distance in Å.
Fractional positions:
1 Pb 0.7500 0.7500 0.7500  6 Pb 3.06, 6 Ta 3.08
2 Ta 0.5040 0.5040 0.5040  3 Al 2.89, 6 Ta 3.06, 3 Pb 3.08
3 Ta 0.9960 0.9960 0.9960  3 Al 2.89, 6 Ta 3.06, 3 Pb 3.08
4 Al 0.2500 0.2500 0.2500  6 Ta 2.89, 6 Al 3.06